(1)
VASP calculation (GGA-PBE) on ReNiTe2 after structural relaxation.

Values from the calculation:
Formation energy from raw total energies in eV per atom: 0.5909
Distance to the lowest polymorph of the same formula in meV per atom: 486
Crystal system: trigonal
E in eV/atom: -5.5373

Unit cell a=3.4094 b=3.4094 c=25.7215 alpha=90.00 beta=90.00 gamma=120.00
Space group R-3m (No. 166, hexagonal axes)
Inequivalent atoms, fractional coordinates:
Re (0.0000, 0.0000, 0.0000) [3 per cell]
Ni (0.0000, 0.0000, 0.5000) [3 per cell]
Te (0.0000, 0.0000, 0.4065) [6 per cell]


(2)
VASP calculation (GGA-PBE) on BaReTc3 after structural relaxation.

Values from the calculation:
Distance to the lowest polymorph of the same formula in meV per atom: 2364
Crystal system: cubic
E in eV/atom: -5.4983

Unit cell a=4.8036 b=4.8036 c=4.8036 alpha=90.00 beta=90.00 gamma=90.00
Space group Pm-3m (No. 221)
Inequivalent atoms, fractional coordinates:
Ba (0.0000, 0.0000, 0.0000) [1 per cell]
Re (0.5000, 0.5000, 0.5000) [1 per cell]
Tc (0.0000, 0.0000, 0.5000) [3 per cell]


(3)
VASP calculation (GGA-PBE) on PrSm2Co9 after structural relaxation.

Values from the calculation:
Crystal system: trigonal
E in eV/atom: -6.5825

Unit cell a=5.0514 b=5.0514 c=24.6174 alpha=90.00 beta=90.00 gamma=120.00
Space group R-3m (No. 166, hexagonal axes)
Inequivalent atoms, fractional coordinates:
Pr (0.0000, 0.0000, 0.0000) [3 per cell]
Sm (0.0000, 0.0000, 0.1401) [6 per cell]
Co (0.0000, 0.0000, 0.3343) [6 per cell]
Co (0.0000, 0.0000, 0.5000) [3 per cell]
Co (0.9996, 0.4998, 0.0808) [18 per cell]


(4)
VASP calculation (GGA-PBE) on FeSi4W after structural relaxation.

Values from the calculation:
Formation energy from raw total energies in eV per atom: 0.4639
Crystal system: cubic
E in eV/atom: -6.7208

Unit cell a=6.7769 b=6.7769 c=6.7769 alpha=90.00 beta=90.00 gamma=90.00
Space group F-43m (No. 216)
Inequivalent atoms, fractional coordinates:
Fe (0.0000, 0.0000, 0.0000) [4 per cell]
Si (0.1249, 0.1249, 0.3751) [16 per cell]
W (0.2500, 0.2500, 0.7500) [4 per cell]


(5)
VASP calculation (GGA-PBE) on Zn3MoCl after structural relaxation.

Values from the calculation:
Formation energy from raw total energies in eV per atom: 1.2249
Distance to the lowest polymorph of the same formula in meV per atom: 409
Crystal system: cubic
E in eV/atom: -2.0750

Unit cell a=4.7626 b=4.7626 c=4.7626 alpha=90.00 beta=90.00 gamma=90.00
Space group Pm-3m (No. 221)
Inequivalent atoms, fractional coordinates:
Zn (0.0000, 0.0000, 0.5000) [3 per cell]
Mo (0.5000, 0.5000, 0.5000) [1 per cell]
Cl (0.0000, 0.0000, 0.0000) [1 per cell]


(6)
VASP calculation (GGA-PBE) on ReRu2Pb after structural relaxation.

Values from the calculation:
Crystal system: orthorhombic
E in eV/atom: -8.0421

Unit cell a=5.9318 b=7.4776 c=2.9395 alpha=90.00 beta=90.00 gamma=90.00
Space group Cmmm (No. 65)
Inequivalent atoms, fractional coordinates:
Re (0.0000, 0.0000, 0.0000) [2 per cell]
Ru (0.2500, 0.2500, 0.5000) [4 per cell]
Pb (0.0000, 0.5000, 0.0000) [2 per cell]


(7)
VASP calculation (GGA-PBE) on LiTiB after structural relaxation.

Values from the calculation:
Distance to the lowest polymorph of the same formula in meV per atom: 314
Crystal system: triclinic
E in eV/atom: -5.5927

Unit cell a=2.9811 b=4.3100 c=7.0672 alpha=86.54 beta=89.83 gamma=69.81
Space group P1 (No. 1)
Inequivalent atoms, fractional coordinates:
Li (0.0000, 0.0000, 0.0000) [1 per cell]
Li (0.2852, 0.4593, 0.1891) [1 per cell]
Ti (0.2901, 0.4232, 0.6854) [1 per cell]
Ti (0.5563, 0.8951, 0.4461) [1 per cell]
B (0.0079, 0.9879, 0.6981) [1 per cell]
B (0.5836, 0.8349, 0.7637) [1 per cell]


(8)
VASP calculation (GGA-PBE) on ZrScMn2S6 after structural relaxation.

Values from the calculation:
Formation energy from raw total energies in eV per atom: -1.1152
Crystal system: trigonal
E in eV/atom: -6.9136

Unit cell a=6.3300 b=6.3300 c=17.4048 alpha=90.00 beta=90.00 gamma=120.00
Space group R3 (No. 146, hexagonal axes)
Inequivalent atoms, fractional coordinates:
Zr (0.0000, 0.0000, 0.0000) [3 per cell]
Sc (0.0000, 0.0000, 0.5009) [3 per cell]
Mn (0.0000, 0.0000, 0.3121) [3 per cell]
Mn (0.0000, 0.0000, 0.8119) [3 per cell]
S (0.0119, 0.3632, 0.5701) [9 per cell]
S (0.0128, 0.6932, 0.4042) [9 per cell]


(9)
VASP calculation (GGA-PBE) on Sr2LiPdI after structural relaxation.

Values from the calculation:
Formation energy from raw total energies in eV per atom: -0.5765
Crystal system: tetragonal
E in eV/atom: -2.9806

Unit cell a=6.0127 b=6.0127 c=4.8304 alpha=90.00 beta=90.00 gamma=90.00
Space group P4/mmm (No. 123)
Inequivalent atoms, fractional coordinates:
Sr (0.0000, 0.5000, 0.0000) [2 per cell]
Li (0.0000, 0.0000, 0.5000) [1 per cell]
Pd (0.0000, 0.0000, 0.0000) [1 per cell]
I (0.5000, 0.5000, 0.5000) [1 per cell]


(10)
VASP calculation (GGA-PBE) on Er3ZnPt3 after structural relaxation.

Values from the calculation:
Distance to the lowest polymorph of the same formula in meV per atom: 0
Crystal system: orthorhombic
E in eV/atom: -5.8556

Unit cell a=4.0729 b=10.3720 c=13.9149 alpha=90.00 beta=90.00 gamma=90.00
Space group Cmcm (No. 63)
Inequivalent atoms, fractional coordinates:
Er (0.0000, 0.0360, 0.2500) [4 per cell]
Er (0.0000, 0.3073, 0.1059) [8 per cell]
Zn (0.0000, 0.0000, 0.0000) [4 per cell]
Pt (0.0000, 0.2343, 0.7500) [4 per cell]
Pt (0.0000, 0.4062, 0.5926) [8 per cell]


(11)
VASP calculation (GGA-PBE) on Ca2CoAu2 after structural relaxation.

Values from the calculation:
Crystal system: tetragonal
E in eV/atom: -3.8294

Unit cell a=7.2294 b=7.2294 c=4.3330 alpha=90.00 beta=90.00 gamma=90.00
Space group P4/mbm (No. 127)
Inequivalent atoms, fractional coordinates:
Ca (0.1712, 0.3288, 0.0000) [4 per cell]
Co (0.0000, 0.0000, 0.5000) [2 per cell]
Au (0.1402, 0.6402, 0.5000) [4 per cell]


(12)
VASP calculation (GGA-PBE) on Tl2HW after structural relaxation.

Values from the calculation:
Distance to the lowest polymorph of the same formula in meV per atom: 0
Crystal system: tetragonal
E in eV/atom: -4.0505

Unit cell a=6.9321 b=6.9321 c=5.7560 alpha=90.00 beta=90.00 gamma=90.00
Space group I-42d (No. 122)
Inequivalent atoms, fractional coordinates:
Tl (0.1758, 0.7500, 0.1250) [8 per cell]
H (0.0000, 0.0000, 0.0000) [4 per cell]
W (0.0000, 0.0000, 0.5000) [4 per cell]


(13)
VASP calculation (GGA-PBE) on PuSn4Rh2 after structural relaxation.

Values from the calculation:
Crystal system: orthorhombic
E in eV/atom: -6.9294

Unit cell a=18.6111 b=4.4806 c=7.2044 alpha=90.00 beta=90.00 gamma=90.00
Space group Pnma (No. 62)
Inequivalent atoms, fractional coordinates:
Pu (0.1419, 0.2500, 0.0020) [4 per cell]
Sn (0.0327, 0.7500, 0.8680) [4 per cell]
Sn (0.0684, 0.2500, 0.4818) [4 per cell]
Sn (0.1829, 0.7500, 0.2967) [4 per cell]
Sn (0.1939, 0.7500, 0.7236) [4 per cell]
Rh (0.0354, 0.7500, 0.2542) [4 per cell]
Rh (0.2131, 0.2500, 0.5148) [4 per cell]


(14)
VASP calculation (GGA-PBE) on AlTc2Se after structural relaxation.

Values from the calculation:
Formation energy from raw total energies in eV per atom: -0.0088
Distance to the lowest polymorph of the same formula in meV per atom: 74
Crystal system: trigonal
E in eV/atom: -6.9985

Unit cell a=2.9955 b=2.9955 c=24.1674 alpha=90.00 beta=90.00 gamma=120.00
Space group R3m (No. 160, hexagonal axes)
Inequivalent atoms, fractional coordinates:
Al (0.0000, 0.0000, 0.0000) [3 per cell]
Tc (0.0000, 0.0000, 0.4989) [3 per cell]
Tc (0.0000, 0.0000, 0.7468) [3 per cell]
Se (0.0000, 0.0000, 0.2430) [3 per cell]


(15)
VASP calculation (GGA-PBE) on PmEuHo2 after structural relaxation.

Values from the calculation:
Distance to the lowest polymorph of the same formula in meV per atom: 22
Crystal system: tetragonal
E in eV/atom: -5.9586

Unit cell a=5.1236 b=5.1236 c=5.1019 alpha=90.00 beta=90.00 gamma=90.00
Space group P4/mmm (No. 123)
Inequivalent atoms, fractional coordinates:
Pm (0.0000, 0.0000, 0.0000) [1 per cell]
Eu (0.5000, 0.5000, 0.0000) [1 per cell]
Ho (0.0000, 0.5000, 0.5000) [2 per cell]


(16)
VASP calculation (GGA-PBE) on KP2H8 after structural relaxation.

Values from the calculation:
Distance to the lowest polymorph of the same formula in meV per atom: 0
Crystal system: monoclinic
E in eV/atom: -3.5196

Unit cell a=8.3168 b=5.7331 c=8.5055 alpha=90.00 beta=116.09 gamma=90.00
Space group C2/m (No. 12)
Inequivalent atoms, fractional coordinates:
K (0.0000, 0.0000, 0.0000) [2 per cell]
P (0.2432, 0.5000, 0.2198) [4 per cell]
H (0.0625, 0.5000, 0.1989) [4 per cell]
H (0.1838, 0.0000, 0.5940) [4 per cell]
H (0.2043, 0.4317, 0.6988) [8 per cell]


(17)
VASP calculation (GGA-PBE) on BaRe2Os after structural relaxation.

Values from the calculation:
Distance to the lowest polymorph of the same formula in meV per atom: 974
Crystal system: tetragonal
E in eV/atom: -7.7328

Unit cell a=4.9565 b=4.9565 c=3.0174 alpha=90.00 beta=90.00 gamma=90.00
Space group P4/mmm (No. 123)
Inequivalent atoms, fractional coordinates:
Ba (0.0000, 0.0000, 0.0000) [1 per cell]
Re (0.0000, 0.5000, 0.5000) [2 per cell]
Os (0.5000, 0.5000, 0.0000) [1 per cell]


(18)
VASP calculation (GGA-PBE) on Mn2PtAu8 after structural relaxation.

Values from the calculation:
Crystal system: monoclinic
E in eV/atom: -4.5331

Unit cell a=12.4370 b=7.4185 c=4.7437 alpha=90.00 beta=102.80 gamma=90.00
Space group C2/m (No. 12)
Inequivalent atoms, fractional coordinates:
Mn (0.1204, 0.0000, 0.0285) [4 per cell]
Pt (0.0000, 0.0000, 0.5000) [2 per cell]
Au (0.0722, 0.3073, 0.2888) [8 per cell]
Au (0.1495, 0.5000, 0.8412) [4 per cell]
Au (0.2257, 0.0000, 0.5878) [4 per cell]